! KZrPb2 | Alexandria via LeMat-Bulk | PBE | optimized geometry; values from VASP
&SYSTEM
  ibrav = 0, nat = 8, ntyp = 3
/
ATOMIC_SPECIES
Pb 207.20 Pb.upf
Zr 91.22 Zr.upf
K 39.10 K.upf
CELL_PARAMETERS angstrom
6.161 0.000 0.000
0.000 6.161 0.000
3.081 3.081 9.395
ATOMIC_POSITIONS angstrom
Pb 4.621 3.721 7.047
Pb 5.521 1.540 2.349
Pb 7.701 2.440 7.047
Pb 6.802 4.621 2.349
Zr 0.000 0.000 0.000
Zr 6.161 3.081 4.698
K 3.081 3.081 0.000
K 3.081 6.161 4.698
! * total energy: -3.917 eV per atom
! * crystal system: tetragonal
! * ΔE_f: 348 meV per atom
! * N(E_F): 4.3 states/eV/cell